[1]
A plane-wave DFT calculation with PBE was carried out for a relaxed CaAgHgGe crystal.

abc: 7.048 7.048 7.048
angles: 90.00 90.00 90.00
Space group F-43m (No. 216)
Symmetry-distinct sites (fractional):
Ca (0.000, 0.000, 0.000) [4 per cell]
Ag (0.000, 0.000, 0.500) [4 per cell]
Hg (0.250, 0.250, 0.750) [4 per cell]
Ge (0.250, 0.250, 0.250) [4 per cell]

Computed properties:
- ΔH_f (0 K): -0.22 eV per atom

***

[2]
A plane-wave DFT calculation with PBE was carried out for a relaxed CaHoAgGe crystal.

abc: 7.220 7.220 7.220
angles: 90.00 90.00 90.00
Space group F-43m (No. 216)
Symmetry-distinct sites (fractional):
Ca (0.000, 0.000, 0.000) [4 per cell]
Ho (0.000, 0.000, 0.500) [4 per cell]
Ag (0.250, 0.250, 0.750) [4 per cell]
Ge (0.250, 0.250, 0.250) [4 per cell]

Computed properties:
- ΔH_f (0 K): -0.52 eV per atom

***

[3]
A plane-wave DFT calculation with PBE was carried out for a relaxed CaAg2GeI6 crystal.

abc: 14.445 13.603 7.969
angles: 90.00 100.16 90.00
Space group C2/c (No. 15)
Symmetry-distinct sites (fractional):
Ca (0.000, 0.088, 0.250) [4 per cell]
Ag (0.161, 0.409, 0.310) [8 per cell]
Ge (0.000, 0.262, 0.750) [4 per cell]
I (0.121, 0.244, 0.100) [8 per cell]
I (0.122, 0.085, 0.623) [8 per cell]
I (0.126, 0.406, 0.646) [8 per cell]

Computed properties:
- Raw formation energy: -0.652 eV per atom

***

[4]
A plane-wave DFT calculation with PBE was carried out for a relaxed CaInAgGe crystal.

abc: 7.122 7.122 7.122
angles: 90.00 90.00 90.00
Space group F-43m (No. 216)
Symmetry-distinct sites (fractional):
Ca (0.000, 0.000, 0.000) [4 per cell]
In (0.000, 0.000, 0.500) [4 per cell]
Ag (0.250, 0.250, 0.750) [4 per cell]
Ge (0.250, 0.250, 0.250) [4 per cell]

Computed properties:
- ΔH_f (0 K): -0.23 eV per atom

***

[5]
A plane-wave DFT calculation with PBE was carried out for a relaxed CaLaAgGe crystal.

abc: 7.458 7.458 7.458
angles: 90.00 90.00 90.00
Space group F-43m (No. 216)
Symmetry-distinct sites (fractional):
Ca (0.000, 0.000, 0.000) [4 per cell]
La (0.000, 0.000, 0.500) [4 per cell]
Ag (0.250, 0.250, 0.250) [4 per cell]
Ge (0.250, 0.250, 0.750) [4 per cell]

Computed properties:
- ΔH_f (0 K): -0.56 eV per atom

***

[6]
A plane-wave DFT calculation with PBE was carried out for a relaxed LiCaAgGe crystal.

abc: 7.924 4.581 5.421
angles: 90.00 119.32 90.00
Space group Cm (No. 8)
Symmetry-distinct sites (fractional):
Li (0.000, 0.000, 0.000) [2 per cell]
Ca (0.202, 0.000, 0.605) [2 per cell]
Ag (0.224, 0.500, 0.171) [2 per cell]
Ge (0.419, 0.000, 0.259) [2 per cell]

Computed properties:
- ΔH_f (0 K): -0.36 eV per atom

***

[7]
A plane-wave DFT calculation with PBE was carried out for a relaxed LiCaAgGe crystal.

abc: 6.742 6.742 6.742
angles: 90.00 90.00 90.00
Space group F-43m (No. 216)
Symmetry-distinct sites (fractional):
Li (0.000, 0.000, 0.000) [4 per cell]
Ca (0.250, 0.250, 0.750) [4 per cell]
Ag (0.000, 0.000, 0.500) [4 per cell]
Ge (0.250, 0.250, 0.250) [4 per cell]

Computed properties:
- ΔH_f (0 K): -0.35 eV per atom

***

[8]
A plane-wave DFT calculation with PBE was carried out for a relaxed Ca2NdAg2Ge2 crystal.

abc: 4.6215 4.6215 27.8261
angles: 90.00 90.00 120.00
Space group R-3m (No. 166, hexagonal axes)
Symmetry-distinct sites (fractional):
Ca (0.0000, 0.0000, 0.1275) [6 per cell]
Nd (0.0000, 0.0000, 0.0000) [3 per cell]
Ag (0.0000, 0.0000, 0.4028) [6 per cell]
Ge (0.0000, 0.0000, 0.2602) [6 per cell]

Computed properties:
- ΔH_f (0 K): -0.46 eV per atom